Entry 1:
A relaxed Li2SbTe4As crystal, computed with GGA-PBE.

Lattice parameters (Å, degrees): 7.375 4.248 7.403 90.00 109.23 90.00
Space group P2/m (No. 10)
Inequivalent atoms, fractional coordinates:
Li  0.000  0.000  0.000 x1
Li  0.500  0.500  0.000 x1
Sb  0.000  0.500  0.500 x1
Te  0.264  0.000  0.753 x2
Te  0.266  0.500  0.256 x2
As  0.500  0.000  0.500 x1

Output
The formation energy without anion corrections is -3.1 eV per formula unit.

=====

Entry 2:
A relaxed LiTlSbAs2 crystal, computed with GGA-PBE.

Lattice parameters (Å, degrees): 13.345 4.826 10.102 90.00 125.21 90.00
Space group C2/m (No. 12)
Inequivalent atoms, fractional coordinates:
Li  0.133  0.000  0.436 x4
Tl  0.179  0.500  0.147 x4
Sb  0.054  0.500  0.714 x4
As  0.079  0.000  0.861 x4
As  0.172  0.500  0.571 x4

Output
The formation energy without anion corrections is -0.5 eV per formula unit. The density of states at the Fermi level is 0.93 states/eV/f.u.

=====

Entry 3:
A relaxed Li2SbAsW crystal, computed with GGA-PBE.

Lattice parameters (Å, degrees): 5.042 5.042 5.162 90.00 90.00 90.00
Space group P4/mmm (No. 123)
Inequivalent atoms, fractional coordinates:
Li  0.000  0.500  0.000 x2
Sb  0.000  0.000  0.500 x1
As  0.500  0.500  0.500 x1
W  0.000  0.000  0.000 x1

Output
The formation energy without anion corrections is 5.8 eV per formula unit. The density of states at the Fermi level is 4.33 states/eV/f.u.

=====

Entry 4:
A relaxed LiScAs2 crystal, computed with GGA-PBE.

Lattice parameters (Å, degrees): 6.654 6.654 6.654 90.00 90.00 90.00
Space group Fm-3m (No. 225)
Inequivalent atoms, fractional coordinates:
Li  0.000  0.000  0.000 x4
Sc  0.000  0.000  0.500 x4
As  0.250  0.250  0.250 x8

Output
The calculation puts the relative energy among the computed polymorphs at 0.1405 eV per atom. The formation energy comes out at -641 meV/atom. The density of states at the Fermi level is 3.59 states/eV/f.u.

=====

Entry 5:
A relaxed Li2ScAs2 crystal, computed with GGA-PBE.

Lattice parameters (Å, degrees): 7.476 7.476 2.952 90.00 90.00 90.00
Space group P4/mbm (No. 127)
Inequivalent atoms, fractional coordinates:
Li  0.111  0.389  0.000 x4
Sc  0.000  0.000  0.000 x2
As  0.186  0.686  0.500 x4

Output
The formation energy comes out at -638 meV/atom. The density of states at the Fermi level is 1.80 states/eV/f.u.

=====

Entry 6:
A relaxed Li2ScAs crystal, computed with GGA-PBE.

Lattice parameters (Å, degrees): 10.262 3.859 3.860 90.00 96.46 90.00
Space group C2/m (No. 12)
Inequivalent atoms, fractional coordinates:
Li  0.232  0.000  0.275 x4
Sc  0.000  0.500  0.000 x2
As  0.000  0.000  0.500 x2

Output
The formation energy comes out at -501 meV/atom. The density of states at the Fermi level is 1.76 states/eV/f.u.

=====

Entry 7:
A relaxed Li3ScAs crystal, computed with GGA-PBE.

Lattice parameters (Å, degrees): 4.685 4.685 4.685 90.00 90.00 90.00
Space group Pm-3m (No. 221)
Inequivalent atoms, fractional coordinates:
Li  0.000  0.000  0.500 x3
Sc  0.500  0.500  0.500 x1
As  0.000  0.000  0.000 x1

Output
The calculation puts the relative energy among the computed polymorphs at 0.0000 eV per atom. The formation energy comes out at -28 meV/atom. The density of states at the Fermi level is 4.79 states/eV/f.u.

=====

Entry 8:
A relaxed Li2ScAs crystal, computed with GGA-PBE.

Lattice parameters (Å, degrees): 3.859 3.859 20.588 90.00 90.00 90.00
Space group I-42d (No. 122)
Inequivalent atoms, fractional coordinates:
Li  0.212  0.750  0.125 x8
Sc  0.000  0.000  0.500 x4
As  0.000  0.000  0.000 x4

Output
The formation energy comes out at -457 meV/atom. The density of states at the Fermi level is 2.45 states/eV/f.u.

=====

Entry 9:
A relaxed Li2ScAs crystal, computed with GGA-PBE.

Lattice parameters (Å, degrees): 5.466 9.154 3.069 90.00 90.00 90.00
Space group Cmmm (No. 65)
Inequivalent atoms, fractional coordinates:
Li  0.250  0.250  0.000 x4
Sc  0.000  0.000  0.500 x2
As  0.000  0.500  0.500 x2

Output
The formation energy comes out at -191 meV/atom. The density of states at the Fermi level is 3.96 states/eV/f.u.

=====

Entry 10:
A relaxed LiScAs2 crystal, computed with GGA-PBE.

Lattice parameters (Å, degrees): 6.313 7.489 3.068 90.00 94.07 90.00
Space group C2/m (No. 12)
Inequivalent atoms, fractional coordinates:
Li  0.000  0.000  0.000 x2
Sc  0.000  0.500  0.000 x2
As  0.250  0.250  0.500 x4

Output
The calculation puts the relative energy among the computed polymorphs at 0.0893 eV per atom. The formation energy comes out at -692 meV/atom. The density of states at the Fermi level is 1.83 states/eV/f.u.

=====

Entry 11:
A relaxed LiScAs crystal, computed with GGA-PBE.

Lattice parameters (Å, degrees): 9.092 4.286 6.266 90.00 90.00 90.00
Space group Pnma (No. 62)
Inequivalent atoms, fractional coordinates:
Li  0.093  0.250  0.030 x4
Sc  0.145  0.250  0.525 x4
As  0.116  0.750  0.266 x4

Output
The calculation puts the relative energy among the computed polymorphs at 0.0000 eV per atom. The formation energy comes out at -851 meV/atom. The density of states at the Fermi level is 2.29 states/eV/f.u.

=====

Entry 12:
A relaxed LiScAs2 crystal, computed with GGA-PBE.

Lattice parameters (Å, degrees): 10.057 3.833 4.066 90.00 106.44 90.00
Space group Cm (No. 8)
Inequivalent atoms, fractional coordinates:
Li  0.000  0.000  0.000 x2
Sc  0.254  0.500  0.386 x2
As  0.247  0.000  0.900 x2
As  0.468  0.000  0.414 x2

Output
The calculation puts the relative energy among the computed polymorphs at 0.0000 eV per atom. The formation energy comes out at -782 meV/atom. The density of states at the Fermi level is 0.86 states/eV/f.u.